Entry 1:
Mo3P | GGA-PBE | optimized geometry

a = 4.362 Å, b = 4.362 Å, c = 4.362 Å
α = 60.00°, β = 60.00°, γ = 60.00°
Positions (direct):
P: 0.000 0.000 0.000
Mo: 0.250 0.250 0.250
Mo: 0.500 0.500 0.500
Mo: 0.750 0.750 0.750

Properties
Volume ... 14.67 Å³/atom
Magnetic moment ... 0.0 μB/f.u.
E above lowest polymorph ... 1.84 eV/f.u.

Entry 2:
CdNi4Sb | GGA-PBE | optimized geometry

a = 4.934 Å, b = 4.934 Å, c = 4.934 Å
α = 60.00°, β = 60.00°, γ = 60.00°
Positions (direct):
Ni: 0.125 0.625 0.625
Ni: 0.625 0.625 0.625
Ni: 0.625 0.625 0.125
Ni: 0.625 0.125 0.625
Sb: 0.250 0.250 0.250
Cd: 0.000 0.000 0.000

Properties
Volume ... 14.15 Å³/atom
Calculated total energy ... -4.64 eV per atom
Magnetic moment ... 0.0 μB/f.u.

Entry 3:
Pr3InP2Rh9 | GGA-PBE | optimized geometry

a = 6.098 Å, b = 6.098 Å, c = 9.438 Å
α = 90.00°, β = 90.00°, γ = 120.00°
Positions (direct):
Rh: 0.500 0.000 0.000
Rh: 0.150 0.850 0.267
Rh: 0.850 0.699 0.733
Rh: 0.150 0.301 0.267
Rh: 0.500 0.500 0.000
Rh: 0.000 0.500 0.000
Rh: 0.301 0.150 0.733
Rh: 0.699 0.850 0.267
Rh: 0.850 0.150 0.733
P: 0.333 0.667 0.157
P: 0.667 0.333 0.843
In: 0.000 0.000 0.500
Pr: 0.000 0.000 0.000
Pr: 0.667 0.333 0.298
Pr: 0.333 0.667 0.702

Properties
Volume ... 20.26 Å³/atom
Calculated total energy ... -6.85 eV per atom
Magnetic moment ... 0.0 μB/f.u.

Entry 4:
MgAlNiRu2 | GGA-PBE | optimized geometry

a = 4.492 Å, b = 4.376 Å, c = 4.492 Å
α = 90.00°, β = 90.00°, γ = 90.00°
Positions (direct):
Mg: 0.000 0.500 0.000
Ni: 0.000 0.000 0.000
Ru: 0.000 0.000 0.500
Ru: 0.500 0.000 0.000
Al: 0.500 0.500 0.500

Properties
Volume ... 17.65 Å³/atom
Calculated total energy ... -5.12 eV per atom
Magnetic moment ... 2.3 μB/f.u.

Question: The lowest volume belongs to which entry?
Answer: CdNi4Sb

Question: What is the formula in the second record?
Answer: CdNi4Sb

Question: What is the volume in the third record?
Answer: 20.26 Å³/atom

Question: Among the records above, which one has the highest magnetic moment?
Answer: MgAlNiRu2